[1]
This record from Alexandria via LeMat-Bulk describes a relaxed structure of KBaSr2. The functional is PBEsol.

Structure (CIF):
```
data_KBaSr2
_symmetry_space_group_name_H-M 'P 1'
_symmetry_Int_Tables_number 1
_symmetry_space_group_name_Hall 'P 1'
_cell_length_a 4.161
_cell_length_b 6.905
_cell_length_c 8.063
_cell_angle_alpha 90.00
_cell_angle_beta 99.72
_cell_angle_gamma 90.00
loop_
_atom_site_label
_atom_site_fract_x
_atom_site_fract_y
_atom_site_fract_z
_atom_site_occupancy
Sr1 0.217 0.000 0.244 1
Sr2 0.783 0.000 0.756 1
Ba1 0.500 0.500 0.000 1
K1 0.000 0.500 0.500 1
```

Output
- Energy relative to the elements: 0.3 eV/f.u.
- Energy relative to the lowest polymorph listed for this composition: 33 meV/atom
- Space group: P2/m
- Density of states at the Fermi level: 1.14 states/eV per atom


[2]
This record from Alexandria via LeMat-Bulk describes a relaxed structure of KBaSr2. The functional is PBEsol.

Structure (CIF):
```
data_KBaSr2
_symmetry_space_group_name_H-M 'P 1'
_symmetry_Int_Tables_number 1
_symmetry_space_group_name_Hall 'P 1'
_cell_length_a 4.173
_cell_length_b 8.046
_cell_length_c 8.076
_cell_angle_alpha 116.99
_cell_angle_beta 99.97
_cell_angle_gamma 99.86
loop_
_atom_site_label
_atom_site_fract_x
_atom_site_fract_y
_atom_site_fract_z
_atom_site_occupancy
Ba1 0.500 0.000 0.000 1
K1 0.000 0.500 0.000 1
Sr1 0.000 0.000 0.500 1
Sr2 0.500 0.500 0.500 1
```

Output
- Energy relative to the elements: 0.4 eV/f.u.
- Energy relative to the lowest polymorph listed for this composition: 36 meV/atom
- Space group: C2/m
- Density of states at the Fermi level: 1.18 states/eV per atom


[3]
This record from Alexandria via LeMat-Bulk describes a relaxed structure of KBaSr2. The functional is PBEsol.

Structure (CIF):
```
data_KBaSr2
_symmetry_space_group_name_H-M 'P 1'
_symmetry_Int_Tables_number 1
_symmetry_space_group_name_Hall 'P 1'
_cell_length_a 4.618
_cell_length_b 7.049
_cell_length_c 8.198
_cell_angle_alpha 115.46
_cell_angle_beta 106.36
_cell_angle_gamma 90.00
loop_
_atom_site_label
_atom_site_fract_x
_atom_site_fract_y
_atom_site_fract_z
_atom_site_occupancy
Sr1 0.997 0.997 0.995 1
Sr2 0.746 0.246 0.491 1
Ba1 0.503 0.503 0.005 1
K1 0.254 0.754 0.508 1
```

Output
- Energy relative to the elements: 0.4 eV/f.u.
- Energy relative to the lowest polymorph listed for this composition: 43 meV/atom
- Space group: Imm2
- Density of states at the Fermi level: 1.24 states/eV per atom


[4]
This record from Alexandria via LeMat-Bulk describes a relaxed structure of KBaSr2. The functional is PBEsol.

Structure (CIF):
```
data_KBaSr2
_symmetry_space_group_name_H-M 'P 1'
_symmetry_Int_Tables_number 1
_symmetry_space_group_name_Hall 'P 1'
_cell_length_a 4.160
_cell_length_b 4.160
_cell_length_c 14.188
_cell_angle_alpha 90.00
_cell_angle_beta 90.00
_cell_angle_gamma 112.00
loop_
_atom_site_label
_atom_site_fract_x
_atom_site_fract_y
_atom_site_fract_z
_atom_site_occupancy
Ba1 0.000 0.000 0.512 1
Sr1 0.000 0.000 0.988 1
Sr2 0.500 0.500 0.753 1
K1 0.500 0.500 0.247 1
```

Output
- Energy relative to the elements: 0.2 eV/f.u.
- Energy relative to the lowest polymorph listed for this composition: 6 meV/atom
- Space group: Cmm2
- Density of states at the Fermi level: 1.37 states/eV per atom